Computed, not measured: a geometry-optimized NbZnCo3 structure at the PBE level of DFT.

Values from the calculation:
Energy of formation from the pure elements ... 8.0 kcal/mol of atoms
DOS at the Fermi energy ... 1.4992 states/eV per atom
Total magnetization ... 0.402 μB per atom
Total energy ... -6.184 eV per atom

Unit cell a=5.7727 b=5.7727 c=4.6845 alpha=90.00 beta=90.00 gamma=120.00
With the nearest neighbours (Å) after each atom.
Fractional coordinates of all 10 atoms:
Nb 0.3333 0.6667 0.2500  12 Co 2.68-2.91
Nb 0.6667 0.3333 0.7500  12 Co 2.68-2.91
Zn 0.0000 0.0000 0.0000  6 Co 2.34, 2 Zn 2.34
Zn 0.0000 0.0000 0.5000  6 Co 2.34, 2 Zn 2.34
Co 0.2024 0.4047 0.7500  2 Co 2.27, 2 Zn 2.34
Co 0.2024 0.7976 0.7500  2 Co 2.27, 2 Zn 2.34
Co 0.4047 0.2024 0.2500  2 Co 2.27, 2 Zn 2.34
Co 0.5953 0.7976 0.7500  2 Co 2.27, 2 Zn 2.34
Co 0.7976 0.2024 0.2500  2 Co 2.27, 2 Zn 2.34
Co 0.7976 0.5953 0.2500  2 Co 2.27, 2 Zn 2.34

Computed, not measured: a geometry-optimized Ac4NdPt4 structure at the PBE level of DFT.

Values from the calculation:
Energy of formation from the pure elements ... -24.2 kcal/mol of atoms
DOS at the Fermi energy ... 0.6117 states/eV per atom
Total magnetization ... 0.000 μB per atom
Total energy ... -6.091 eV per atom

Unit cell a=7.5291 b=7.5291 c=10.6565 alpha=118.25 beta=118.25 gamma=33.90
With the nearest neighbours (Å) after each atom.
Fractional coordinates of all 9 atoms:
Ac 0.1093 0.1093 0.3924  4 Pt 3.01-3.06
Ac 0.2984 0.2984 0.1892  5 Pt 3.04-3.09
Ac 0.7016 0.7016 0.8108  5 Pt 3.04-3.09
Ac 0.8907 0.8907 0.6076  4 Pt 3.01-3.06
Nd 0.5000 0.5000 0.0000  6 Pt 3.04-3.07
Pt 0.0936 0.0936 0.8986  4 Ac 3.03-3.09, 2 Nd 3.04
Pt 0.2961 0.2961 0.7028  5 Ac 3.01-3.09, 1 Nd 3.07
Pt 0.7039 0.7039 0.2972  5 Ac 3.01-3.09, 1 Nd 3.07
Pt 0.9064 0.9064 0.1014  4 Ac 3.03-3.09, 2 Nd 3.04

Computed, not measured: a geometry-optimized AlAuSe structure at the PBE level of DFT.

Values from the calculation:
Formation energy (no corrections) ... -0.116 eV/atom
DOS at the Fermi energy ... 0.2224 states/eV per atom
Total magnetization ... 0.000 μB per atom
Total energy ... -3.617 eV per atom

Unit cell a=6.5803 b=6.1487 c=3.4576 alpha=81.26 beta=67.45 gamma=31.29
With the nearest neighbours (Å) after each atom.
Fractional coordinates of all 3 atoms:
Al 0.0000 0.0000 0.0000  2 Se 2.45, 2 Au 2.53
Au 0.3491 0.3491 0.6509  2 Al 2.53
Se 0.6415 0.6415 0.3585  2 Al 2.45

Computed, not measured: a geometry-optimized TmSc2Ga6 structure at the PBE level of DFT.

Values from the calculation:
Energy of formation from the pure elements ... -10.9 kcal/mol of atoms
DOS at the Fermi energy ... 0.5364 states/eV per atom
Total magnetization ... 0.000 μB per atom
Total energy ... -4.392 eV per atom

Unit cell a=7.5562 b=7.5562 c=7.5562 alpha=148.12 beta=126.75 gamma=63.42
With the nearest neighbours (Å) after each atom.
Fractional coordinates of all 9 atoms:
Tm 0.0000 0.0000 0.0000  4 Ga 2.96
Sc 0.3788 0.8788 0.5000  10 Ga 2.77-3.05
Sc 0.6212 0.1212 0.5000  10 Ga 2.77-3.05
Ga 0.0065 0.3104 0.6960  4 Ga 2.56-2.69, 1 Sc 2.77
Ga 0.3124 0.5000 0.8124  3 Ga 2.54-2.56
Ga 0.3856 0.6896 0.6960  4 Ga 2.56-2.69, 1 Sc 2.77
Ga 0.6144 0.3104 0.3040  4 Ga 2.56-2.69, 1 Sc 2.77
Ga 0.6876 0.5000 0.1876  3 Ga 2.54-2.56
Ga 0.9935 0.6896 0.3040  4 Ga 2.56-2.69, 1 Sc 2.77

Computed, not measured: a geometry-optimized ZrAs2RhSe structure at the PBE level of DFT.

Values from the calculation:
Formation energy (no corrections) ... 0.207 eV/atom
DOS at the Fermi energy ... 0.8863 states/eV per atom
Total magnetization ... 0.000 μB per atom
Total energy ... -5.530 eV per atom

Unit cell a=4.6964 b=4.6964 c=4.9900 alpha=90.00 beta=90.00 gamma=90.00
With the nearest neighbours (Å) after each atom.
Fractional coordinates of all 5 atoms:
Zr 0.0000 0.0000 0.0000  4 Se 3.32, 8 As 3.43
As 0.0000 0.5000 0.5000  2 Rh 2.35
As 0.5000 0.0000 0.5000  2 Rh 2.35
Rh 0.5000 0.5000 0.5000  4 As 2.35, 2 Se 2.50
Se 0.5000 0.5000 0.0000  2 Rh 2.50

Computed, not measured: a geometry-optimized NaTaCoN3 structure at the PBE level of DFT.

Values from the calculation:
Formation energy (no corrections) ... -0.433 eV/atom
DOS at the Fermi energy ... 0.3851 states/eV per atom
Total magnetization ... 0.017 μB per atom
Total energy ... -7.975 eV per atom

Unit cell a=6.5684 b=3.1757 c=8.8114 alpha=90.00 beta=111.06 gamma=90.00
With the nearest neighbours (Å) after each atom.
Fractional coordinates of all 12 atoms:
Na 0.0298 0.2500 0.3203  4 N 2.46-2.53
Na 0.9702 0.7500 0.6797  4 N 2.46-2.53
Ta 0.4428 0.7500 0.6290  5 N 1.99-2.19
Ta 0.5572 0.2500 0.3710  5 N 1.99-2.19
Co 0.4385 0.2500 0.8944  4 N 1.84-1.93
Co 0.5615 0.7500 0.1056  4 N 1.84-1.93
N 0.2624 0.2500 0.6654  1 Co 1.93, 2 Ta 2.07
N 0.3355 0.7500 0.3877  3 Ta 1.99-2.19
N 0.4151 0.2500 0.0967  3 Co 1.84
N 0.5849 0.7500 0.9033  3 Co 1.84
N 0.6645 0.2500 0.6123  3 Ta 1.99-2.19
N 0.7376 0.7500 0.3346  1 Co 1.93, 2 Ta 2.07

Computed, not measured: a geometry-optimized NaZn2AsO6 structure at the PBE level of DFT.

Values from the calculation:
Formation energy (no corrections) ... -1.262 eV/atom
DOS at the Fermi energy ... 0.0000 states/eV per atom
Total magnetization ... 0.000 μB per atom
Total energy ... -5.089 eV per atom

Unit cell a=7.5337 b=7.5337 c=6.2148 alpha=108.26 beta=108.26 gamma=95.43
With the nearest neighbours (Å) after each atom.
Fractional coordinates of all 20 atoms:
Na 0.1167 0.8833 0.7500  6 O 2.43-2.63
Na 0.8833 0.1167 0.2500  6 O 2.43-2.63
Zn 0.2541 0.4327 0.9097  4 O 1.96-1.99
Zn 0.4327 0.2541 0.4097  4 O 1.96-1.99
Zn 0.5673 0.7459 0.5903  4 O 1.96-1.99
Zn 0.7459 0.5673 0.0903  4 O 1.96-1.99
As 0.1670 0.8330 0.2500  4 O 1.72-1.73
As 0.8330 0.1670 0.7500  4 O 1.72-1.73
O 0.0531 0.1982 0.7187  1 As 1.73
O 0.1646 0.6730 0.9818  1 As 1.72
O 0.1982 0.0531 0.2187  1 As 1.73
O 0.3270 0.8354 0.5182  1 As 1.72
O 0.3931 0.4399 0.6866  1 O 1.50
O 0.4399 0.3931 0.1866  1 O 1.50
O 0.5601 0.6069 0.8134  1 O 1.50
O 0.6069 0.5601 0.3134  1 O 1.50
O 0.6730 0.1646 0.4818  1 As 1.72
O 0.8018 0.9469 0.7813  1 As 1.73
O 0.8354 0.3270 0.0182  1 As 1.72
O 0.9469 0.8018 0.2813  1 As 1.73

Computed, not measured: a geometry-optimized TbTmMg structure at the PBE level of DFT.

Values from the calculation:
Energy of formation from the pure elements ... 4.4 kcal/mol of atoms
DOS at the Fermi energy ... 1.6966 states/eV per atom
Total magnetization ... 0.001 μB per atom
Total energy ... -3.374 eV per atom

Unit cell a=4.7851 b=4.7851 c=8.0020 alpha=90.00 beta=90.00 gamma=90.00
With the nearest neighbours (Å) after each atom.
Fractional coordinates of all 6 atoms:
Tb 0.2500 0.7500 0.0000  4 Mg 3.24, 4 Tb 3.38, 4 Tm 3.57
Tb 0.7500 0.2500 0.0000  4 Mg 3.24, 4 Tb 3.38, 4 Tm 3.57
Tm 0.2500 0.2500 0.3318  5 Mg 3.16-3.42
Tm 0.7500 0.7500 0.6682  5 Mg 3.16-3.42
Mg 0.2500 0.2500 0.7269  5 Tm 3.16-3.42, 4 Tb 3.24
Mg 0.7500 0.7500 0.2731  5 Tm 3.16-3.42, 4 Tb 3.24

Computed, not measured: a geometry-optimized Pm2P3Pt4Au structure at the PBE level of DFT.

Values from the calculation:
Energy of formation from the pure elements ... -19.0 kcal/mol of atoms
DOS at the Fermi energy ... 0.7028 states/eV per atom
Total magnetization ... 0.000 μB per atom
Total energy ... -6.143 eV per atom

Unit cell a=4.1712 b=4.1712 c=10.6051 alpha=90.00 beta=90.00 gamma=90.00
With the nearest neighbours (Å) after each atom.
Fractional coordinates of all 10 atoms:
Pm 0.0000 0.5000 0.2431  8 Pt 3.12-3.32, 6 P 3.20-3.43, 2 Au 3.43
Pm 0.5000 0.0000 0.7569  8 Pt 3.12-3.32, 6 P 3.20-3.43, 2 Au 3.43
P 0.0000 0.5000 0.8747  5 Pt 2.26-2.47
P 0.5000 0.0000 0.1253  5 Pt 2.26-2.47
P 0.5000 0.5000 0.5000  4 Pt 2.70, 4 Au 2.95
Pt 0.0000 0.0000 0.0000  4 P 2.47
Pt 0.0000 0.5000 0.6616  1 P 2.26
Pt 0.5000 0.0000 0.3384  1 P 2.26
Pt 0.5000 0.5000 0.0000  4 P 2.47
Au 0.0000 0.0000 0.5000  4 Pt 2.70, 4 P 2.95

Computed, not measured: a geometry-optimized HgBiP2 structure at the PBE level of DFT.

Values from the calculation:
Energy of formation from the pure elements ... 13.3 kcal/mol of atoms
DOS at the Fermi energy ... 0.6993 states/eV per atom
Total magnetization ... 0.000 μB per atom
Total energy ... -3.176 eV per atom

Unit cell a=4.9715 b=4.9715 c=4.9715 alpha=60.00 beta=60.00 gamma=60.00
With the nearest neighbours (Å) after each atom.
Fractional coordinates of all 4 atoms:
Hg 0.0000 0.0000 0.0000  8 P 3.04
Bi 0.5000 0.5000 0.5000  8 P 3.04
P 0.2500 0.2500 0.2500  4 Hg 3.04, 4 Bi 3.04
P 0.7500 0.7500 0.7500  4 Hg 3.04, 4 Bi 3.04

Computed, not measured: a geometry-optimized Np2Cr2FeC4 structure at the PBE level of DFT.

Values from the calculation:
Energy of formation from the pure elements ... -0.6 kcal/mol of atoms
DOS at the Fermi energy ... 1.1355 states/eV per atom
Total magnetization ... 0.285 μB per atom
Total energy ... -10.079 eV per atom

Unit cell a=5.9457 b=5.9457 c=5.3127 alpha=99.00 beta=99.00 gamma=31.39
With the nearest neighbours (Å) after each atom.
Fractional coordinates of all 9 atoms:
Np 0.1094 0.1094 0.0351  7 C 2.40-2.57, 1 Np 2.47
Np 0.8906 0.8906 0.9649  7 C 2.40-2.57, 1 Np 2.47
Cr 0.3347 0.3347 0.4441  5 C 2.00-2.22
Cr 0.6653 0.6653 0.5559  5 C 2.00-2.22
Fe 0.0000 0.0000 0.5000  4 C 1.97
C 0.2487 0.2487 0.7429  3 Cr 2.00-2.04
C 0.4963 0.4963 0.2846  2 Fe 1.97, 1 Cr 2.16
C 0.5037 0.5037 0.7154  2 Fe 1.97, 1 Cr 2.16
C 0.7513 0.7513 0.2571  3 Cr 2.00-2.04

Computed, not measured: a geometry-optimized RbNaSrBr4 structure at the PBE level of DFT.

Values from the calculation:
Formation energy (no corrections) ... -1.811 eV/atom
DOS at the Fermi energy ... 0.0000 states/eV per atom
Total magnetization ... 0.000 μB per atom
Total energy ... -3.333 eV per atom

Unit cell a=7.9742 b=7.7800 c=9.1105 alpha=90.00 beta=102.86 gamma=90.00
With the nearest neighbours (Å) after each atom.
Fractional coordinates of all 14 atoms:
Rb 0.1368 0.2500 0.0829  4 Br 3.38-3.64
Rb 0.8632 0.7500 0.9171  4 Br 3.38-3.64
Na 0.3875 0.2500 0.6951  4 Br 2.79-2.90
Na 0.6125 0.7500 0.3049  4 Br 2.79-2.90
Sr 0.1654 0.7500 0.4584  6 Br 3.06-3.12
Sr 0.8346 0.2500 0.5416  6 Br 3.06-3.12
Br 0.1208 0.0024 0.7123  1 Na 2.90, 2 Sr 3.11-3.12
Br 0.1208 0.4976 0.7123  1 Na 2.90, 2 Sr 3.11-3.12
Br 0.2668 0.7500 0.1536  1 Na 2.79, 1 Sr 3.06
Br 0.4478 0.2500 0.4025  1 Na 2.81, 1 Sr 3.06
Br 0.5522 0.7500 0.5975  1 Na 2.81, 1 Sr 3.06
Br 0.7332 0.2500 0.8464  1 Na 2.79, 1 Sr 3.06
Br 0.8792 0.5024 0.2877  1 Na 2.90, 2 Sr 3.11-3.12
Br 0.8792 0.9976 0.2877  1 Na 2.90, 2 Sr 3.11-3.12